CrW2 | PBE-GGA | relaxed

POSCAR file:
```
CrW2
1.0
-1.432 1.432 11.289
1.432 -1.432 11.289
1.432 1.432 -11.289
Cr W
2 4
direct
0.375 0.625 0.750
0.625 0.375 0.250
0.052 0.802 0.250
0.198 0.948 0.250
0.802 0.052 0.750
0.948 0.198 0.750
```

## Properties
Its formation energy is 0.640 eV/atom. Its crystal system is tetragonal. As for the offset from the most stable computed form: 586.2 meV/atom. Its space group is I4_1/amd, No. 141.


CrW3 | PBE-GGA | relaxed

POSCAR file:
```
CrW3
1.0
5.446 0.000 0.000
-2.723 4.716 0.000
0.000 0.000 4.825
Cr W
2 6
direct
0.333 0.667 0.250
0.667 0.333 0.750
0.168 0.336 0.750
0.168 0.832 0.750
0.336 0.168 0.250
0.664 0.832 0.750
0.832 0.168 0.250
0.832 0.664 0.250
```

## Properties
Its formation energy is 0.495 eV/atom. Its crystal system is hexagonal. Its space group is P6_3/mmc, No. 194.